5
Lattice="5.4041 0.0000 0.0000 0.0000 5.4041 0.0000 0.0000 0.0000 5.4580" Properties=species:S:1:pos:R:3 comment="InSb2TeRu (meta-GGA SCAN, PBEsol geometry)" e_tot_ev_per_atom=-34.49 crystal_system=tetragonal pbc="T T T"
In 0.0000 0.0000 0.0000
Sb 0.0000 2.7021 0.0000
Sb 2.7021 0.0000 0.0000
Te 0.0000 0.0000 2.7290
Ru 2.7021 2.7021 2.7290

5
Lattice="4.7212 0.0000 0.0000 0.0000 4.7212 0.0000 0.0000 0.0000 5.3477" Properties=species:S:1:pos:R:3 comment="ZrInSbRu2 (meta-GGA SCAN, PBEsol geometry)" e_tot_ev_per_atom=-32.93 crystal_system=tetragonal pbc="T T T"
Zr 0.0000 0.0000 0.0000
In 0.0000 0.0000 2.6738
Sb 2.3606 2.3606 2.6738
Ru 0.0000 2.3606 0.0000
Ru 2.3606 0.0000 0.0000

4
Lattice="3.2174 0.0000 0.0000 0.0000 3.2174 0.0000 0.0000 0.0000 6.2056" Properties=species:S:1:pos:R:3 comment="ScInRu2 (meta-GGA SCAN, PBEsol geometry)" e_tot_ev_per_atom=-29.60 formation_enthalpy_0k_ev_per_atom=-0.2855 crystal_system=tetragonal pbc="T T T"
Sc 0.0000 0.0000 0.0000
In 0.0000 0.0000 3.1028
Ru 1.6087 1.6087 1.5422
Ru 1.6087 1.6087 4.6634

8
Lattice="10.0653 0.0000 0.0000 0.0000 3.0741 0.0000 -1.6415 0.0000 4.1985" Properties=species:S:1:pos:R:3 comment="ScInRu2 (meta-GGA SCAN, PBEsol geometry)" e_tot_ev_per_atom=-29.63 formation_enthalpy_0k_ev_per_atom=-0.3089 crystal_system=monoclinic pbc="T T T"
Sc 0.0000 0.0000 0.0000
Sc 5.0326 1.5370 0.0000
In 2.2063 1.5370 1.4619
In 7.2389 0.0000 1.4619
Ru -0.5899 1.5370 2.1196
Ru 1.0916 0.0000 3.4698
Ru 4.4427 0.0000 2.1196
Ru 6.1242 1.5370 3.4698

3
Lattice="3.1472 0.0000 0.0000 -1.5736 2.7256 0.0000 0.0000 0.0000 6.5317" Properties=species:S:1:pos:R:3 comment="ScInRu (meta-GGA SCAN, PBEsol geometry)" e_tot_ev_per_atom=-27.63 formation_enthalpy_0k_ev_per_atom=-0.1479 crystal_system=trigonal pbc="T T T"
Sc 0.0000 0.0000 0.0000
In 0.0000 1.8170 3.9665
Ru 1.5736 0.9085 1.8594

5
Lattice="5.5624 0.0000 0.0000 0.0000 5.5624 0.0000 0.0000 0.0000 4.4423" Properties=species:S:1:pos:R:3 comment="ScTlIn2Ru (meta-GGA SCAN, PBEsol geometry)" e_tot_ev_per_atom=-36.93 formation_enthalpy_0k_ev_per_atom=0.7136 crystal_system=tetragonal pbc="T T T"
Sc 0.0000 0.0000 0.0000
Tl 2.7812 2.7812 2.2212
In 0.0000 2.7812 0.0000
In 2.7812 0.0000 0.0000
Ru 0.0000 0.0000 2.2212

5
Lattice="4.6877 0.0000 0.0000 0.0000 4.6877 0.0000 0.0000 0.0000 4.8033" Properties=species:S:1:pos:R:3 comment="ScInRu2W (meta-GGA SCAN, PBEsol geometry)" e_tot_ev_per_atom=-35.26 formation_enthalpy_0k_ev_per_atom=2.1328 crystal_system=tetragonal pbc="T T T"
Sc 0.0000 0.0000 0.0000
In 0.0000 0.0000 2.4016
Ru 0.0000 2.3438 2.4016
Ru 2.3438 0.0000 2.4016
W 2.3438 2.3438 0.0000

5
Lattice="5.1962 0.0000 0.0000 0.0000 5.1962 0.0000 0.0000 0.0000 5.1962" Properties=species:S:1:pos:R:3 comment="In3RuSe (meta-GGA SCAN, PBEsol geometry)" e_tot_ev_per_atom=-29.87 crystal_system=cubic pbc="T T T"
In 0.0000 0.0000 2.5981
In 0.0000 2.5981 0.0000
In 2.5981 0.0000 0.0000
Ru 2.5981 2.5981 2.5981
Se 0.0000 0.0000 0.0000

4
Lattice="2.9921 0.0000 0.0000 0.0000 2.9921 0.0000 0.0000 0.0000 8.6682" Properties=species:S:1:pos:R:3 comment="InRuSe2 (meta-GGA SCAN, PBEsol geometry)" e_tot_ev_per_atom=-27.03 crystal_system=tetragonal pbc="T T T"
In 0.0000 0.0000 0.0000
Ru 1.4961 1.4961 2.0766
Se 0.0000 0.0000 3.3937
Se 1.4961 1.4961 6.3517

12
Lattice="3.6559 0.0000 0.0000 -1.8280 3.1661 0.0000 0.0000 0.0000 24.0697" Properties=species:S:1:pos:R:3 comment="InRuSe2 (meta-GGA SCAN, PBEsol geometry)" e_tot_ev_per_atom=-26.68 crystal_system=trigonal pbc="T T T"
In 0.0000 0.0000 0.0000
In 0.0000 2.1108 16.0464
In 1.8280 1.0554 8.0232
Ru 0.0000 0.0000 12.0348
Ru 0.0000 2.1108 4.0116
Ru 1.8280 1.0554 20.0580
Se 0.0000 0.0000 9.7134
Se 0.0000 0.0000 14.3562
Se 0.0000 2.1108 1.6902
Se 0.0000 2.1108 6.3330
Se 1.8280 1.0554 17.7366
Se 1.8280 1.0554 22.3795

4
Lattice="3.3960 0.0000 0.0000 0.0000 3.7447 0.0000 0.0000 0.0000 5.4258" Properties=species:S:1:pos:R:3 comment="In2SiRu (meta-GGA SCAN, PBEsol geometry)" e_tot_ev_per_atom=-27.60 crystal_system=orthorhombic pbc="T T T"
In 0.0000 0.0000 1.3349
In 0.0000 0.0000 4.0909
Si 1.6980 1.8724 2.7129
Ru 1.6980 1.8724 0.0000

16
Lattice="6.5376 0.0000 0.0000 0.0000 6.5376 0.0000 0.0000 0.0000 6.5376" Properties=species:S:1:pos:R:3 comment="In2SiRu (meta-GGA SCAN, PBEsol geometry)" e_tot_ev_per_atom=-27.35 crystal_system=cubic pbc="T T T"
In 0.0000 0.0000 0.0000
In 0.0000 3.2688 3.2688
In 1.6344 1.6344 1.6344
In 1.6344 4.9032 4.9032
In 3.2688 0.0000 3.2688
In 3.2688 3.2688 0.0000
In 4.9032 1.6344 4.9032
In 4.9032 4.9032 1.6344
Si 1.6344 1.6344 4.9032
Si 1.6344 4.9032 1.6344
Si 4.9032 1.6344 1.6344
Si 4.9032 4.9032 4.9032
Ru 0.0000 0.0000 3.2688
Ru 0.0000 3.2688 0.0000
Ru 3.2688 0.0000 0.0000
Ru 3.2688 3.2688 3.2688